Material: PuNiBiO6
Method: DFT, GGA+U
State: optimized geometry

The calculation puts the total DFT energy (no corrections) at -132.23 eV per cell. As for the crystal system: trigonal. Its space group is No. 163.

Unit cell a=5.3348 b=5.3348 c=10.1611 alpha=90.00 beta=90.00 gamma=120.00
Element x y z (fractional)
Pu: 0.6667 0.3333 0.2500
Pu: 0.3333 0.6667 0.7500
Ni: 0.3333 0.6667 0.2500
Ni: 0.6667 0.3333 0.7500
Bi: 0.0000 0.0000 0.0000
Bi: 0.0000 0.0000 0.5000
O: 0.6490 0.6392 0.1392
O: 0.9903 0.3510 0.1392
O: 0.3510 0.9903 0.6392
O: 0.0097 0.6490 0.8608
O: 0.3608 0.3510 0.3608
O: 0.9903 0.6392 0.3608
O: 0.6392 0.9903 0.8608
O: 0.6490 0.0097 0.3608
O: 0.0097 0.3608 0.6392
O: 0.3608 0.0097 0.1392
O: 0.6392 0.6490 0.6392
O: 0.3510 0.3608 0.8608